Entry 1:
{"formula": "Cd2Bi2I", "functional": "GGA-PBE", "state": "relaxed", "lattice": [[9.1386, 0.0000, 0.0000], [0.0000, 9.1386, 0.0000], [0.0000, 0.0000, 3.6579]], "species": ["Cd", "Cd", "Cd", "Cd", "Bi", "Bi", "Bi", "Bi", "I", "I"], "frac_coords": [[0.1515, 0.3485, 0.0000], [0.3485, 0.8485, 0.0000], [0.6515, 0.1515, 0.0000], [0.8485, 0.6515, 0.0000], [0.1464, 0.6464, 0.5000], [0.3536, 0.1464, 0.5000], [0.6464, 0.8536, 0.5000], [0.8536, 0.3536, 0.5000], [0.0000, 0.0000, 0.5000], [0.5000, 0.5000, 0.5000]], "raw_formation_energy_ev_per_atom": 0.074, "crystal_system": "tetragonal"}

=====

Entry 2:
{"formula": "ZrRuSe2", "functional": "GGA-PBE", "state": "relaxed", "lattice": [[3.4860, -2.0047, 0.0000], [3.4860, 2.0047, 0.0000], [-2.3178, 0.0000, 5.3296]], "species": ["Zr", "Ru", "Se", "Se"], "frac_coords": [[0.0000, 0.0000, 0.0000], [0.5000, 0.5000, 0.5000], [0.2390, 0.2390, 0.7170], [0.7610, 0.7610, 0.2830]], "raw_formation_energy_ev_per_atom": -0.389, "crystal_system": "monoclinic"}

=====

Entry 3:
{"formula": "GaAg5Au2", "functional": "GGA-PBE", "state": "relaxed", "lattice": [[5.7646, 0.0000, 0.0000], [0.0000, 11.6535, 0.0000], [0.0000, 0.0000, 4.2157]], "species": ["Ga", "Ga", "Ag", "Ag", "Ag", "Ag", "Ag", "Ag", "Ag", "Ag", "Ag", "Ag", "Au", "Au", "Au", "Au"], "frac_coords": [[0.0000, 0.0000, 0.0000], [0.5000, 0.5000, 0.0000], [0.0000, 0.5000, 0.0000], [0.0326, 0.2460, 0.0000], [0.2176, 0.6312, 0.5000], [0.2824, 0.1312, 0.5000], [0.4674, 0.7460, 0.0000], [0.5000, 0.0000, 0.0000], [0.5326, 0.2540, 0.0000], [0.7176, 0.8688, 0.5000], [0.7824, 0.3688, 0.5000], [0.9674, 0.7540, 0.0000], [0.2197, 0.8835, 0.5000], [0.2803, 0.3835, 0.5000], [0.7197, 0.6165, 0.5000], [0.7803, 0.1165, 0.5000]], "dft_energy_ev_per_atom": -3.028, "crystal_system": "orthorhombic"}

=====

Entry 4:
{"formula": "AcLaPO2", "functional": "GGA-PBE", "state": "relaxed", "lattice": [[-2.0172, 2.0172, 6.7795], [2.0172, -2.0172, 6.7795], [2.0172, 2.0172, -6.7795]], "species": ["Ac", "La", "P", "O", "O"], "frac_coords": [[0.0000, 0.0000, 0.0000], [0.6920, 0.6920, 0.0000], [0.3478, 0.3478, 0.0000], [0.1018, 0.6018, 0.5000], [0.6018, 0.1018, 0.5000]], "raw_formation_energy_ev_per_atom": -2.542, "crystal_system": "tetragonal"}